Record 1
## AcVO6 (GGA+U)

Data for a relaxed AcVO6 crystal.

Output
Magnetic moment   4.0 μB per cell
E_tot   -0.242 hartree per atom
Mass density   5912 kg/m3

Unit cell a=4.753 b=4.753 c=4.753 alpha=96.64 beta=96.64 gamma=96.64
Fractional positions:
Ac (0.000, 0.000, 0.000)
V (0.500, 0.500, 0.500)
O (0.222, 0.222, 0.584)
O (0.222, 0.584, 0.222)
O (0.416, 0.778, 0.778)
O (0.584, 0.222, 0.222)
O (0.778, 0.416, 0.778)
O (0.778, 0.778, 0.416)

=====

Record 2
## AcVO (GGA+U)

Data for a relaxed AcVO crystal.

Output
Magnetic moment   5.7 μB per cell
E_tot   -0.239 hartree per atom
Mass density   7480 kg/m3

Unit cell a=3.674 b=3.674 c=9.670 alpha=90.00 beta=90.31 gamma=90.00
Fractional positions:
Ac (0.248, 0.250, 0.338)
Ac (0.752, 0.750, 0.662)
V (0.250, 0.750, 0.000)
V (0.750, 0.250, 0.000)
O (0.251, 0.250, 0.599)
O (0.749, 0.750, 0.401)

=====

Record 3
## Ac3V2O9 (GGA+U)

Data for a relaxed Ac3V2O9 crystal.

Output
Magnetic moment   1.0 μB per cell
E_tot   -0.289 hartree per atom
Mass density   8234 kg/m3

Unit cell a=5.601 b=5.601 c=6.879 alpha=90.00 beta=90.00 gamma=120.00
Fractional positions:
Ac (0.000, 0.000, 0.000)
Ac (0.333, 0.667, 0.345)
Ac (0.667, 0.333, 0.655)
V (0.333, 0.667, 0.824)
V (0.667, 0.333, 0.176)
O (0.000, 0.500, 0.000)
O (0.174, 0.349, 0.682)
O (0.174, 0.826, 0.682)
O (0.349, 0.174, 0.318)
O (0.500, 0.000, 0.000)
O (0.500, 0.500, 0.000)
O (0.651, 0.826, 0.682)
O (0.826, 0.174, 0.318)
O (0.826, 0.651, 0.318)

=====

Record 4
## AcV2O6 (GGA+U)

Data for a relaxed AcV2O6 crystal.

Output
Magnetic moment   2.0 μB per cell
E_tot   -0.285 hartree per atom
Mass density   4203 kg/m3

Unit cell a=7.657 b=7.657 c=6.097 alpha=104.17 beta=104.17 gamma=88.91
Fractional positions:
Ac (0.126, 0.874, 0.750)
Ac (0.874, 0.126, 0.250)
V (0.235, 0.376, 0.762)
V (0.376, 0.235, 0.262)
V (0.624, 0.765, 0.738)
V (0.765, 0.624, 0.238)
O (0.085, 0.180, 0.647)
O (0.121, 0.568, 0.817)
O (0.180, 0.085, 0.147)
O (0.344, 0.387, 0.533)
O (0.387, 0.344, 0.033)
O (0.432, 0.879, 0.683)
O (0.568, 0.121, 0.317)
O (0.613, 0.656, 0.967)
O (0.656, 0.613, 0.467)
O (0.820, 0.915, 0.853)
O (0.879, 0.432, 0.183)
O (0.915, 0.820, 0.353)

=====

Record 5
## Ac6VO12 (GGA+U)

Data for a relaxed Ac6VO12 crystal.

Output
Magnetic moment   1.1 μB per cell
E_tot   -0.286 hartree per atom
Mass density   8007 kg/m3

Unit cell a=7.014 b=7.014 c=7.014 alpha=98.38 beta=98.38 gamma=98.38
Fractional positions:
Ac (0.104, 0.792, 0.640)
Ac (0.208, 0.360, 0.896)
Ac (0.360, 0.896, 0.208)
Ac (0.640, 0.104, 0.792)
Ac (0.792, 0.640, 0.104)
Ac (0.896, 0.208, 0.360)
V (0.500, 0.500, 0.500)
O (0.051, 0.905, 0.323)
O (0.095, 0.677, 0.949)
O (0.225, 0.437, 0.529)
O (0.323, 0.051, 0.905)
O (0.437, 0.529, 0.225)
O (0.471, 0.775, 0.563)
O (0.529, 0.225, 0.437)
O (0.563, 0.471, 0.775)
O (0.677, 0.949, 0.095)
O (0.775, 0.563, 0.471)
O (0.905, 0.323, 0.051)
O (0.949, 0.095, 0.677)

=====

Record 6
## AcVO5 (GGA+U)

Data for a relaxed AcVO5 crystal.

Output
Magnetic moment   4.0 μB per cell
E_tot   -0.260 hartree per atom
Mass density   5238 kg/m3

Unit cell a=5.930 b=5.930 c=7.875 alpha=113.03 beta=113.03 gamma=68.48
Fractional positions:
Ac (0.051, 0.949, 0.750)
Ac (0.949, 0.051, 0.250)
V (0.500, 0.500, 0.000)
V (0.500, 0.500, 0.500)
O (0.204, 0.751, 0.020)
O (0.249, 0.796, 0.480)
O (0.255, 0.329, 0.403)
O (0.329, 0.255, 0.903)
O (0.448, 0.552, 0.750)
O (0.552, 0.448, 0.250)
O (0.671, 0.745, 0.097)
O (0.745, 0.671, 0.597)
O (0.751, 0.204, 0.520)
O (0.796, 0.249, 0.980)

=====

Record 7
## Ac2VO5 (GGA+U)

Data for a relaxed Ac2VO5 crystal.

Output
Magnetic moment   1.0 μB per cell
ΔE to the lowest computed polymorph   183 meV per atom
Mass density   7088 kg/m3

Unit cell a=5.725 b=5.725 c=5.725 alpha=117.63 beta=117.63 gamma=94.15
Fractional positions:
Ac (0.000, 0.500, 0.500)
Ac (0.500, 0.000, 0.500)
V (0.267, 0.267, 0.000)
O (0.048, 0.048, 0.000)
O (0.113, 0.113, 0.554)
O (0.113, 0.558, 0.000)
O (0.558, 0.113, 0.000)
O (0.558, 0.558, 0.446)

=====

Record 8
## Ac2V3O8 (GGA+U)

Data for a relaxed Ac2V3O8 crystal.

Output
Magnetic moment   5.0 μB per cell
E_tot   -0.289 hartree per atom
Mass density   6182 kg/m3

Unit cell a=3.932 b=3.932 c=12.765 alpha=90.00 beta=90.00 gamma=90.00
Fractional positions:
Ac (0.000, 0.000, 0.170)
Ac (0.000, 0.000, 0.830)
V (0.500, 0.500, 0.000)
V (0.500, 0.500, 0.317)
V (0.500, 0.500, 0.683)
O (0.000, 0.500, 0.000)
O (0.000, 0.500, 0.311)
O (0.000, 0.500, 0.689)
O (0.500, 0.000, 0.000)
O (0.500, 0.000, 0.311)
O (0.500, 0.000, 0.689)
O (0.500, 0.500, 0.160)
O (0.500, 0.500, 0.840)

=====

Record 9
## Ac4V3O10 (GGA+U)

Data for a relaxed Ac4V3O10 crystal.

Output
Magnetic moment   7.0 μB per cell
E_tot   -0.294 hartree per atom
Mass density   8524 kg/m3

Unit cell a=15.033 b=15.033 c=15.033 alpha=164.66 beta=164.66 gamma=21.76
Fractional positions:
Ac (0.067, 0.067, 0.000)
Ac (0.200, 0.200, 0.000)
Ac (0.800, 0.800, 0.000)
Ac (0.933, 0.933, 0.000)
V (0.360, 0.360, 0.000)
V (0.500, 0.500, 0.000)
V (0.640, 0.640, 0.000)
O (0.000, 0.500, 0.500)
O (0.141, 0.641, 0.500)
O (0.284, 0.284, 0.000)
O (0.359, 0.859, 0.500)
O (0.430, 0.430, 0.000)
O (0.500, 0.000, 0.500)
O (0.570, 0.570, 0.000)
O (0.641, 0.141, 0.500)
O (0.716, 0.716, 0.000)
O (0.859, 0.359, 0.500)

=====

Record 10
## Ac5V2O12 (GGA+U)

Data for a relaxed Ac5V2O12 crystal.

Output
Magnetic moment   1.0 μB per cell
E_tot   -0.292 hartree per atom
Mass density   7571 kg/m3

Unit cell a=7.285 b=7.285 c=8.097 alpha=105.71 beta=105.71 gamma=49.83
Fractional positions:
Ac (0.000, 0.000, 0.000)
Ac (0.311, 0.311, 0.664)
Ac (0.315, 0.315, 0.147)
Ac (0.685, 0.685, 0.853)
Ac (0.689, 0.689, 0.336)
V (0.229, 0.771, 0.500)
V (0.771, 0.229, 0.500)
O (0.001, 0.001, 0.669)
O (0.094, 0.594, 0.918)
O (0.104, 0.599, 0.428)
O (0.401, 0.896, 0.572)
O (0.406, 0.906, 0.082)
O (0.499, 0.499, 0.658)
O (0.501, 0.501, 0.342)
O (0.594, 0.094, 0.918)
O (0.599, 0.104, 0.428)
O (0.896, 0.401, 0.572)
O (0.906, 0.406, 0.082)
O (0.999, 0.999, 0.331)

=====

Record 11
## AcV4O12 (GGA+U)

Data for a relaxed AcV4O12 crystal.

Output
Magnetic moment   0.5 μB per cell
E_tot   -0.270 hartree per atom
Mass density   4765 kg/m3

Unit cell a=6.557 b=6.557 c=6.557 alpha=109.47 beta=109.47 gamma=109.47
Fractional positions:
Ac (0.000, 0.000, 0.000)
V (0.000, 0.000, 0.500)
V (0.000, 0.500, 0.000)
V (0.500, 0.000, 0.000)
V (0.500, 0.500, 0.500)
O (0.000, 0.246, 0.754)
O (0.000, 0.754, 0.246)
O (0.246, 0.000, 0.754)
O (0.246, 0.246, 0.492)
O (0.246, 0.492, 0.246)
O (0.246, 0.754, 0.000)
O (0.492, 0.246, 0.246)
O (0.508, 0.754, 0.754)
O (0.754, 0.000, 0.246)
O (0.754, 0.246, 0.000)
O (0.754, 0.508, 0.754)
O (0.754, 0.754, 0.508)

=====

Record 12
## Ac2VO5 (GGA+U)

Data for a relaxed Ac2VO5 crystal.

Output
Magnetic moment   4.0 μB per cell
ΔE to the lowest computed polymorph   0 meV per atom
Mass density   6624 kg/m3

Unit cell a=8.810 b=8.810 c=11.444 alpha=117.74 beta=117.74 gamma=50.35
Fractional positions:
Ac (0.019, 0.266, 0.835)
Ac (0.212, 0.720, 0.540)
Ac (0.266, 0.019, 0.335)
Ac (0.280, 0.788, 0.960)
Ac (0.720, 0.212, 0.040)
Ac (0.734, 0.981, 0.665)
Ac (0.788, 0.280, 0.460)
Ac (0.981, 0.734, 0.165)
V (0.230, 0.406, 0.691)
V (0.406, 0.230, 0.191)
V (0.594, 0.770, 0.809)
V (0.770, 0.594, 0.309)
O (0.052, 0.345, 0.662)
O (0.076, 0.894, 0.105)
O (0.097, 0.675, 0.693)
O (0.106, 0.924, 0.395)
O (0.228, 0.370, 0.059)
O (0.325, 0.903, 0.807)
O (0.345, 0.052, 0.162)
O (0.370, 0.228, 0.559)
O (0.402, 0.422, 0.350)
O (0.422, 0.402, 0.850)
O (0.578, 0.598, 0.150)
O (0.598, 0.578, 0.650)
O (0.630, 0.772, 0.441)
O (0.655, 0.948, 0.838)
O (0.675, 0.097, 0.193)
O (0.772, 0.630, 0.941)
O (0.894, 0.076, 0.605)
O (0.903, 0.325, 0.307)
O (0.924, 0.106, 0.895)
O (0.948, 0.655, 0.338)

=====

Record 13
## Ac3V5O12 (GGA+U)

Data for a relaxed Ac3V5O12 crystal.

Output
Magnetic moment   40.0 μB per cell
E_tot   -0.292 hartree per atom
Mass density   6529 kg/m3

Unit cell a=11.422 b=11.422 c=11.422 alpha=109.47 beta=109.47 gamma=109.47
Fractional positions:
Ac (0.125, 0.250, 0.375)
Ac (0.125, 0.375, 0.750)
Ac (0.250, 0.375, 0.125)
Ac (0.250, 0.875, 0.625)
Ac (0.375, 0.125, 0.250)
Ac (0.375, 0.750, 0.125)
Ac (0.625, 0.250, 0.875)
Ac (0.625, 0.875, 0.750)
Ac (0.750, 0.125, 0.375)
Ac (0.750, 0.625, 0.875)
Ac (0.875, 0.625, 0.250)
Ac (0.875, 0.750, 0.625)
V (0.000, 0.000, 0.000)
V (0.000, 0.000, 0.500)
V (0.000, 0.500, 0.000)
V (0.000, 0.500, 0.500)
V (0.125, 0.750, 0.875)
V (0.125, 0.875, 0.250)
V (0.250, 0.125, 0.875)
V (0.250, 0.625, 0.375)
V (0.375, 0.250, 0.625)
V (0.375, 0.625, 0.750)
V (0.500, 0.000, 0.000)
V (0.500, 0.000, 0.500)
V (0.500, 0.500, 0.000)
V (0.500, 0.500, 0.500)
V (0.625, 0.375, 0.250)
V (0.625, 0.750, 0.375)
V (0.750, 0.375, 0.625)
V (0.750, 0.875, 0.125)
V (0.875, 0.125, 0.750)
V (0.875, 0.250, 0.125)
O (0.018, 0.201, 0.119)
O (0.018, 0.317, 0.899)
O (0.082, 0.701, 0.683)
O (0.082, 0.881, 0.399)
O (0.101, 0.619, 0.418)
O (0.101, 0.982, 0.683)
O (0.119, 0.018, 0.201)
O (0.119, 0.601, 0.918)
O (0.183, 0.201, 0.582)
O (0.183, 0.482, 0.601)
O (0.201, 0.119, 0.018)
O (0.201, 0.582, 0.183)
O (0.299, 0.317, 0.918)
O (0.299, 0.482, 0.381)
O (0.317, 0.899, 0.018)
O (0.317, 0.918, 0.299)
O (0.381, 0.299, 0.482)
O (0.381, 0.582, 0.899)
O (0.399, 0.082, 0.881)
O (0.399, 0.817, 0.518)
O (0.418, 0.101, 0.619)
O (0.418, 0.817, 0.799)
O (0.482, 0.381, 0.299)
O (0.482, 0.601, 0.183)
O (0.518, 0.399, 0.817)
O (0.518, 0.619, 0.701)
O (0.582, 0.183, 0.201)
O (0.582, 0.899, 0.381)
O (0.601, 0.183, 0.482)
O (0.601, 0.918, 0.119)
O (0.619, 0.418, 0.101)
O (0.619, 0.701, 0.518)
O (0.683, 0.082, 0.701)
O (0.683, 0.101, 0.982)
O (0.701, 0.518, 0.619)
O (0.701, 0.683, 0.082)
O (0.799, 0.418, 0.817)
O (0.799, 0.881, 0.982)
O (0.817, 0.518, 0.399)
O (0.817, 0.799, 0.418)
O (0.881, 0.399, 0.082)
O (0.881, 0.982, 0.799)
O (0.899, 0.018, 0.317)
O (0.899, 0.381, 0.582)
O (0.918, 0.119, 0.601)
O (0.918, 0.299, 0.317)
O (0.982, 0.683, 0.101)
O (0.982, 0.799, 0.881)

=====

Record 14
## AcV3O9 (GGA+U)

Data for a relaxed AcV3O9 crystal.

Output
Magnetic moment   0.0 μB per cell
E_tot   -0.283 hartree per atom
Mass density   3720 kg/m3

Unit cell a=7.784 b=7.784 c=8.042 alpha=90.00 beta=90.00 gamma=106.30
Fractional positions:
Ac (0.119, 0.119, 0.000)
Ac (0.881, 0.881, 0.500)
V (0.248, 0.248, 0.500)
V (0.305, 0.667, 0.967)
V (0.333, 0.695, 0.533)
V (0.667, 0.305, 0.033)
V (0.695, 0.333, 0.467)
V (0.752, 0.752, 0.000)
O (0.123, 0.155, 0.669)
O (0.155, 0.123, 0.331)
O (0.184, 0.811, 0.501)
O (0.189, 0.816, 0.999)
O (0.200, 0.459, 0.035)
O (0.249, 0.471, 0.448)
O (0.348, 0.652, 0.750)
O (0.459, 0.200, 0.965)
O (0.471, 0.249, 0.552)
O (0.529, 0.751, 0.052)
O (0.541, 0.800, 0.465)
O (0.652, 0.348, 0.250)
O (0.751, 0.529, 0.948)
O (0.800, 0.541, 0.535)
O (0.811, 0.184, 0.499)
O (0.816, 0.189, 0.001)
O (0.845, 0.877, 0.831)
O (0.877, 0.845, 0.169)

=====

Record 15
## Ac2VO6 (GGA+U)

Data for a relaxed Ac2VO6 crystal.

Output
Magnetic moment   2.1 μB per cell
E_tot   -0.281 hartree per atom
Mass density   6999 kg/m3

Unit cell a=5.662 b=6.509 c=9.148 alpha=90.00 beta=122.23 gamma=90.00
Fractional positions:
Ac (0.216, 0.094, 0.251)
Ac (0.216, 0.406, 0.751)
Ac (0.784, 0.594, 0.249)
Ac (0.784, 0.906, 0.749)
V (0.500, 0.000, 0.000)
V (0.500, 0.500, 0.500)
O (0.173, 0.139, 0.955)
O (0.173, 0.361, 0.455)
O (0.304, 0.740, 0.937)
O (0.304, 0.760, 0.437)
O (0.393, 0.046, 0.771)
O (0.393, 0.454, 0.271)
O (0.607, 0.546, 0.729)
O (0.607, 0.954, 0.229)
O (0.696, 0.240, 0.563)
O (0.696, 0.260, 0.063)
O (0.827, 0.639, 0.545)
O (0.827, 0.861, 0.045)